Density functional theory data (PBE) for crystalline LaPmPr3Dy at its relaxed geometry.

a = 8.2084 Å, b = 5.2289 Å, c = 10.4286 Å
α = 90.00°, β = 108.58°, γ = 90.00°
Closest atoms and distances in Å follow each position.
Space group P2_1/m (No. 11)
Asymmetric unit:
La 0.1707 0.2500 0.2931 (multiplicity 2)  3 Dy 3.65-3.66, 1 Pm 3.66, 8 Pr 3.69-3.73
Pm 0.4990 0.7500 0.8737 (multiplicity 2)  7 Pr 3.64-3.68, 1 La 3.66, 2 Dy 3.69, 2 Pm 3.71
Pr 0.1690 0.2500 0.7915 (multiplicity 2)  3 Pm 3.66-3.68, 1 Dy 3.67, 6 Pr 3.69-3.71, 2 La 3.72
Pr 0.1699 0.7500 0.0427 (multiplicity 2)  1 Dy 3.66, 3 Pm 3.67, 3 La 3.69-3.72, 5 Pr 3.70-3.72
Pr 0.1713 0.7500 0.5424 (multiplicity 2)  1 Pm 3.64, 3 Dy 3.64-3.66, 3 La 3.69-3.73, 5 Pr 3.69-3.73
Dy 0.5004 0.2500 0.6243 (multiplicity 2)  5 Pr 3.64-3.67, 3 La 3.65-3.66, 2 Dy 3.68, 2 Pm 3.69

**E_tot**: -4.75 eV per atom
**E_form**: 0.12 eV per formula unit
**Total moment**: 0.000 μB/cell
**DOS at the Fermi energy**: 19.89 states/eV/cell